Record 1
# CdCuHg2Pd

CdCuHg2Pd after structural relaxation (GGA-PBE, the Alexandria database).

Geometry as CIF:
```
data_CdCuHg2Pd
_chemical_formula_sum 'Cd1 Cu1 Hg2 Pd1'
_symmetry_space_group_name_H-M 'P 4/m m m'
_symmetry_Int_Tables_number 123
_symmetry_space_group_name_Hall '-P 4 2'
_cell_length_a 5.232
_cell_length_b 5.232
_cell_length_c 5.190
_cell_angle_alpha 90.00
_cell_angle_beta 90.00
_cell_angle_gamma 90.00
loop_
_atom_site_label
_atom_site_type_symbol
_atom_site_fract_x
_atom_site_fract_y
_atom_site_fract_z
Cd1 Cd 0.000 0.000 0.000
Cu1 Cu 0.500 0.500 0.000
Hg1 Hg 0.000 0.500 0.500
Pd1 Pd 0.000 0.000 0.500
```

Summary:
**Total moment**: 0.0 Bohr magnetons per cell

***

Record 2
# PmCdCuHg

PmCdCuHg after structural relaxation (GGA-PBE, the Alexandria database).

Geometry as CIF:
```
data_PmCdCuHg
_chemical_formula_sum 'Pm4 Cd4 Cu4 Hg4'
_symmetry_space_group_name_H-M 'F -4 3 m'
_symmetry_Int_Tables_number 216
_symmetry_space_group_name_Hall 'F -4 2 3'
_cell_length_a 7.056
_cell_length_b 7.056
_cell_length_c 7.056
_cell_angle_alpha 90.00
_cell_angle_beta 90.00
_cell_angle_gamma 90.00
loop_
_atom_site_label
_atom_site_type_symbol
_atom_site_fract_x
_atom_site_fract_y
_atom_site_fract_z
Pm1 Pm 0.000 0.000 0.000
Cd1 Cd 0.000 0.000 0.500
Cu1 Cu 0.250 0.250 0.750
Hg1 Hg 0.250 0.250 0.250
```

Summary:
**Total moment**: 0.0 Bohr magnetons per cell

***

Number 1: formation enthalpy at 0 K 0.4486 eV per atom. Number 2: formation enthalpy at 0 K -0.2710 eV per atom.